(1)
Entry from the Alexandria database: a relaxed structure of TlAsPb (PBE).

## Properties
Offset from the most stable computed form (eV/atom): 0.0244
ΔH_f (0 K) (eV/atom): 0.008
Symmetry: C2/m (12)

POSCAR file:
```
TlAsPb
1.0
4.412 -2.545 0.000
4.412 2.545 0.000
-2.918 0.000 8.408
Tl As Pb
2 2 2
Cartesian
0.005 0.000 3.270 Tl
5.900 0.000 5.138 Tl
2.942 0.000 1.893 As
2.963 0.000 6.515 As
0.022 0.000 7.311 Pb
5.883 0.000 1.097 Pb
```

=====

(2)
Entry from the Alexandria database: a relaxed structure of Tl2AsPb (PBE).

## Properties
Offset from the most stable computed form (eV/atom): 0.1191
ΔH_f (0 K) (eV/atom): 0.146
Symmetry: R3m (160)

POSCAR file:
```
Tl2AsPb
1.0
2.074 1.197 8.063
-2.074 1.197 8.063
0.000 -2.394 8.063
Tl As Pb
2 1 1
Cartesian
0.000 0.000 0.000 Tl
0.000 0.000 4.755 Tl
0.000 0.000 14.484 As
0.000 0.000 18.501 Pb
```

=====

(3)
Entry from the Alexandria database: a relaxed structure of TlAsPb (PBE).

## Properties
Offset from the most stable computed form (eV/atom): 0.0002
ΔH_f (0 K) (eV/atom): -0.016
Symmetry: Pnma (62)

POSCAR file:
```
TlAsPb
1.0
7.406 0.000 0.000
0.000 5.203 0.000
0.000 0.000 9.167
Tl As Pb
4 4 4
Cartesian
0.135 1.301 1.688 Tl
3.568 3.902 6.271 Tl
3.838 1.301 2.896 Tl
7.271 3.902 7.480 Tl
1.761 3.902 3.731 As
1.942 1.301 8.314 As
5.464 3.902 0.853 As
5.645 1.301 5.437 As
1.191 1.301 5.322 Pb
2.512 3.902 0.738 Pb
4.894 1.301 8.429 Pb
6.215 3.902 3.845 Pb
```

=====

(4)
Entry from the Alexandria database: a relaxed structure of Tl2AsPb (PBE).

## Properties
Offset from the most stable computed form (eV/atom): 0.0654
ΔH_f (0 K) (eV/atom): 0.092
Symmetry: I-4m2 (119)

POSCAR file:
```
Tl2AsPb
1.0
-2.479 2.479 4.612
2.479 -2.479 4.612
2.479 2.479 -4.612
Tl As Pb
2 1 1
Cartesian
0.000 0.000 0.000 Tl
0.000 2.479 2.306 Tl
2.479 0.000 2.306 As
0.000 0.000 4.612 Pb
```

=====

(5)
Entry from the Alexandria database: a relaxed structure of Tl2AsPb (PBE).

## Properties
Offset from the most stable computed form (eV/atom): 0.0059
ΔH_f (0 K) (eV/atom): 0.033
Symmetry: P4mm (99)

POSCAR file:
```
Tl2AsPb
1.0
3.863 0.000 0.000
0.000 3.863 0.000
0.000 0.000 7.820
Tl As Pb
2 1 1
Cartesian
0.000 0.000 0.000 Tl
1.931 1.931 2.333 Tl
0.000 0.000 4.234 As
1.931 1.931 5.648 Pb
```

=====

(6)
Entry from the Alexandria database: a relaxed structure of Tl2AsPb (PBE).

## Properties
Offset from the most stable computed form (eV/atom): 0.0360
ΔH_f (0 K) (eV/atom): 0.063
Symmetry: Pm (6)

POSCAR file:
```
Tl2AsPb
1.0
3.334 0.000 0.000
0.000 4.101 0.000
-1.364 0.000 8.733
Tl As Pb
2 1 1
Cartesian
0.000 0.000 0.000 Tl
0.186 2.050 6.145 Tl
1.700 2.050 1.760 As
1.815 0.000 3.806 Pb
```

=====

(7)
Entry from the Alexandria database: a relaxed structure of TlAs2Pb (PBE).

## Properties
Offset from the most stable computed form (eV/atom): 0.2087
ΔH_f (0 K) (eV/atom): 0.244
Symmetry: P4/mmm (123)

POSCAR file:
```
TlAs2Pb
1.0
4.682 0.000 0.000
0.000 4.682 0.000
0.000 0.000 4.666
Tl As Pb
1 2 1
Cartesian
0.000 0.000 0.000 Tl
0.000 2.341 2.333 As
2.341 0.000 2.333 As
2.341 2.341 0.000 Pb
```

=====

(8)
Entry from the Alexandria database: a relaxed structure of Tl2AsPb (PBE).

## Properties
Offset from the most stable computed form (eV/atom): 0.0293
ΔH_f (0 K) (eV/atom): 0.056
Symmetry: C2/m (12)

POSCAR file:
```
Tl2AsPb
1.0
6.410 -2.075 0.000
6.410 2.075 0.000
-1.774 0.000 4.442
Tl As Pb
2 1 1
Cartesian
2.239 0.000 0.903 Tl
8.806 0.000 3.539 Tl
6.410 0.000 0.000 As
-0.887 0.000 2.221 Pb
```

=====

(9)
Entry from the Alexandria database: a relaxed structure of TlAs2Pb (PBE).

## Properties
Offset from the most stable computed form (eV/atom): 0.2165
ΔH_f (0 K) (eV/atom): 0.252
Symmetry: C2/m (12)

POSCAR file:
```
TlAs2Pb
1.0
3.442 -4.473 0.000
3.442 4.473 0.000
-0.088 0.000 3.326
Tl As Pb
1 2 1
Cartesian
0.000 0.000 0.000 Tl
1.677 2.237 1.663 As
1.677 -2.237 1.663 As
3.442 0.000 0.000 Pb
```

=====

(10)
Entry from the Alexandria database: a relaxed structure of TlAsPb (PBE).

## Properties
Offset from the most stable computed form (eV/atom): 0.0284
ΔH_f (0 K) (eV/atom): 0.012
Symmetry: F-43m (216)

POSCAR file:
```
TlAsPb
1.0
0.000 3.632 3.632
3.632 0.000 3.632
3.632 3.632 0.000
Tl As Pb
1 1 1
Cartesian
0.000 0.000 0.000 Tl
1.816 1.816 1.816 As
3.632 3.632 3.632 Pb
```

=====

(11)
Entry from the Alexandria database: a relaxed structure of Tl2AsPb (PBE).

## Properties
Offset from the most stable computed form (eV/atom): 0.0000
ΔH_f (0 K) (eV/atom): 0.027
Symmetry: Cm (8)

POSCAR file:
```
Tl2AsPb
1.0
5.987 -2.011 0.000
5.987 2.011 0.000
-2.807 0.000 5.084
Tl As Pb
2 1 1
Cartesian
0.000 0.000 0.000 Tl
0.510 0.000 3.353 Tl
4.026 0.000 2.949 As
8.838 0.000 1.301 Pb
```

=====

(12)
Entry from the Alexandria database: a relaxed structure of Tl5AsPb (PBE).

## Properties
ΔH_f (0 K) (eV/atom): 0.059
Symmetry: Imma (74)

POSCAR file:
```
Tl5AsPb
1.0
-4.478 4.489 5.481
4.478 -4.489 5.481
4.478 4.489 -5.481
Tl As Pb
10 2 2
Cartesian
2.239 4.275 -2.740 Tl
2.239 -0.214 2.740 Tl
2.750 2.245 -0.026 Tl
6.207 2.245 -0.026 Tl
0.000 2.245 2.511 Tl
4.478 2.245 2.970 Tl
-1.728 2.245 5.507 Tl
1.728 2.245 5.507 Tl
-2.239 4.703 2.740 Tl
2.239 4.703 2.740 Tl
4.478 -2.245 3.118 As
0.000 6.734 2.363 As
0.000 0.000 0.000 Pb
0.000 4.489 0.000 Pb
```

=====

(13)
Entry from the Alexandria database: a relaxed structure of TlAs2Pb (PBE).

## Properties
Offset from the most stable computed form (eV/atom): 0.0000
ΔH_f (0 K) (eV/atom): 0.035
Symmetry: R3m (160)

POSCAR file:
```
TlAs2Pb
1.0
1.835 1.059 9.466
-1.835 1.059 9.466
0.000 -2.119 9.466
Tl As Pb
1 2 1
Cartesian
0.000 0.000 0.000 Tl
0.000 0.000 13.584 As
0.000 0.000 21.653 As
0.000 0.000 6.669 Pb
```

=====

(14)
Entry from the Alexandria database: a relaxed structure of Tl2AsPb (PBE).

## Properties
Offset from the most stable computed form (eV/atom): 0.1061
ΔH_f (0 K) (eV/atom): 0.133
Symmetry: Cmmm (65)

POSCAR file:
```
Tl2AsPb
1.0
2.461 -2.465 0.000
2.461 2.465 0.000
0.000 0.000 9.444
Tl As Pb
2 1 1
Cartesian
0.000 0.000 2.011 Tl
0.000 0.000 7.433 Tl
2.461 0.000 0.000 As
2.461 0.000 4.722 Pb
```

=====

(15)
Entry from the Alexandria database: a relaxed structure of TlAs2Pb (PBE).

## Properties
Offset from the most stable computed form (eV/atom): 0.0669
ΔH_f (0 K) (eV/atom): 0.102
Symmetry: P4mm (99)

POSCAR file:
```
TlAs2Pb
1.0
3.759 0.000 0.000
0.000 3.759 0.000
0.000 0.000 7.493
Tl As Pb
1 2 1
Cartesian
0.000 0.000 0.000 Tl
0.000 0.000 3.101 As
1.880 1.880 2.260 As
1.880 1.880 5.157 Pb
```

=====

(16)
Entry from the Alexandria database: a relaxed structure of TlZnAs2Pb (PBE).

## Properties
Offset from the most stable computed form (eV/atom): 0.8337
ΔH_f (0 K) (eV/atom): 0.826
Symmetry: P4/mmm (123)

POSCAR file:
```
TlZnAs2Pb
1.0
5.430 0.000 0.000
0.000 5.430 0.000
0.000 0.000 6.390
Tl Zn As Pb
1 1 2 1
Cartesian
0.000 0.000 0.000 Tl
2.715 2.715 0.000 Zn
0.000 2.715 3.195 As
2.715 0.000 3.195 As
0.000 0.000 3.195 Pb
```

=====

(17)
Entry from the Alexandria database: a relaxed structure of TlZnAs2Pb (PBE).

## Properties
Offset from the most stable computed form (eV/atom): 0.0000
ΔH_f (0 K) (eV/atom): -0.008
Symmetry: C2/m (12)

POSCAR file:
```
TlZnAs2Pb
1.0
8.241 -2.095 0.000
8.241 2.095 0.000
-5.760 0.000 7.924
Tl Zn As Pb
2 2 4 2
Cartesian
2.578 0.000 1.097 Tl
8.143 0.000 6.827 Tl
-3.031 0.000 5.345 Zn
13.752 0.000 2.579 Zn
-0.712 0.000 4.285 As
5.560 0.000 1.178 As
5.162 0.000 6.746 As
11.434 0.000 3.638 As
2.503 0.000 5.470 Pb
8.218 0.000 2.454 Pb
```

=====

(18)
Entry from the Alexandria database: a relaxed structure of Tm4AsPb3 (PBE).

## Properties
ΔH_f (0 K) (eV/atom): -0.576
Symmetry: P6_3/mmc (194)

POSCAR file:
```
Tm4AsPb3
1.0
3.976 0.000 0.000
-1.988 3.443 0.000
0.000 0.000 32.973
Tm As Pb
8 2 6
Cartesian
0.000 0.000 6.507 Tm
0.000 0.000 9.980 Tm
0.000 0.000 22.993 Tm
0.000 0.000 26.466 Tm
0.000 2.296 2.148 Tm
0.000 2.296 14.338 Tm
1.988 1.148 18.635 Tm
1.988 1.148 30.824 Tm
0.000 2.296 8.243 As
1.988 1.148 24.730 As
0.000 0.000 0.000 Pb
0.000 0.000 16.486 Pb
0.000 2.296 20.807 Pb
0.000 2.296 28.652 Pb
1.988 1.148 4.321 Pb
1.988 1.148 12.166 Pb
```

=====

(19)
Entry from the Alexandria database: a relaxed structure of TmAsPb (PBE).

## Properties
ΔH_f (0 K) (eV/atom): -0.524
Symmetry: R-3m (166)

POSCAR file:
```
TmAsPb
1.0
2.525 1.458 7.786
-2.525 1.458 7.786
0.000 -2.916 7.786
Tm As Pb
2 2 2
Cartesian
0.000 0.000 2.425 Tm
0.000 0.000 20.934 Tm
0.000 0.000 5.216 As
0.000 0.000 18.142 As
0.000 0.000 8.236 Pb
0.000 0.000 15.123 Pb
```

=====

(20)
Entry from the Alexandria database: a relaxed structure of Tm2AsPb (PBE).

## Properties
Offset from the most stable computed form (eV/atom): 0.0000
ΔH_f (0 K) (eV/atom): -0.944
Symmetry: R-3m (166)

POSCAR file:
```
Tm2AsPb
1.0
1.994 1.151 7.720
-1.994 1.151 7.720
0.000 -2.303 7.720
Tm As Pb
2 1 1
Cartesian
0.000 0.000 5.486 Tm
0.000 0.000 17.675 Tm
0.000 0.000 11.580 As
0.000 0.000 0.000 Pb
```